Density functional theory data (PBE) for a geometry-optimized Sm2DyY2Ho2 structure.

Cell and atoms, written as POSCAR:
```
Sm2DyY2Ho2
1.0
2.843 1.642 8.166
-2.843 1.642 8.166
0.000 -3.283 8.166
Sm Dy Y Ho
2 1 2 2
direct
0.214 0.214 0.214
0.786 0.786 0.786
0.500 0.500 0.500
0.358 0.358 0.358
0.642 0.642 0.642
0.070 0.070 0.070
0.930 0.930 0.930
```

Results
As for the energy of formation: 0.13 eV per atom. The density of states at the Fermi level is 17.00 states/eV per cell. As for the symmetry: R-3m (166). Its magnetic moment is 0.0 μB per formula unit. The value obtained for the uncorrected energy is -0.185 Ha/atom.

---

Density functional theory data (PBE) for a geometry-optimized SmDyY5Ho2 structure.

Cell and atoms, written as POSCAR:
```
SmDyY5Ho2
1.0
2.811 -10.055 0.000
2.811 10.055 0.000
0.000 0.000 10.507
Sm Dy Y Ho
2 2 10 4
direct
0.197 0.803 0.500
0.803 0.197 0.000
0.413 0.587 0.937
0.587 0.413 0.437
0.017 0.983 0.509
0.278 0.722 0.801
0.301 0.699 0.192
0.388 0.612 0.511
0.479 0.521 0.224
0.521 0.479 0.724
0.612 0.388 0.011
0.699 0.301 0.692
0.722 0.278 0.301
0.983 0.017 0.009
0.111 0.889 0.222
0.113 0.887 0.805
0.887 0.113 0.305
0.889 0.111 0.722
```

Results
As for the energy of formation: 0.16 eV per atom. The density of states at the Fermi level is 31.00 states/eV per cell. As for the symmetry: Cmc2_1 (36). Its magnetic moment is 0.0 μB per formula unit. The value obtained for the uncorrected energy is -0.202 Ha/atom.